Entry 1:
Compound: SiTc2Au
Source: Alexandria
Functional: PBE-GGA
Structure: optimized geometry

Magnetic moment (Bohr magnetons per cell): 0.00
Symmetry: Pmm2 (25)
ΔE_f (raw) (eV/atom): 0.124

a b c (Å): 2.898 3.750 5.564
angles (deg): 90.00 90.00 90.00
Fractional coordinates of all 4 atoms:
1 Si 0.000 0.000 0.000
2 Tc 0.000 0.000 0.454
3 Tc 0.500 0.500 0.242
4 Au 0.500 0.500 0.742



Entry 2:
Compound: SiTcAu2
Source: Alexandria
Functional: PBE-GGA
Structure: optimized geometry

Magnetic moment (Bohr magnetons per cell): 0.00
Symmetry: R-3m (166)
ΔE_f (raw) (eV/atom): 0.349

a b c (Å): 9.038 9.038 9.038
angles (deg): 18.49 18.49 18.49
Fractional coordinates of all 4 atoms:
1 Si 0.000 0.000 0.000
2 Tc 0.500 0.500 0.500
3 Au 0.253 0.253 0.253
4 Au 0.747 0.747 0.747



Entry 3:
Compound: Si2Tc2Au
Source: Alexandria
Functional: PBE-GGA
Structure: optimized geometry

Magnetic moment (Bohr magnetons per cell): 0.00
Symmetry: I4/mmm (139)
ΔE_f (raw) (eV/atom): -0.046

a b c (Å): 6.775 6.775 6.775
angles (deg): 150.22 150.22 42.62
Fractional coordinates of all 5 atoms:
1 Si 0.250 0.750 0.500
2 Si 0.750 0.250 0.500
3 Tc 0.109 0.109 0.000
4 Tc 0.891 0.891 0.000
5 Au 0.500 0.500 0.000



Entry 4:
Compound: SiTc2Au
Source: Alexandria
Functional: PBE-GGA
Structure: optimized geometry

Magnetic moment (Bohr magnetons per cell): 0.00
Symmetry: Pmmm (47)
ΔE_f (raw) (eV/atom): 0.328

a b c (Å): 3.040 4.432 4.490
angles (deg): 90.00 90.00 90.00
Fractional coordinates of all 4 atoms:
1 Si 0.000 0.000 0.000
2 Tc 0.000 0.500 0.500
3 Tc 0.500 0.000 0.500
4 Au 0.500 0.500 0.000



Entry 5:
Compound: SiTc2Au
Source: Alexandria
Functional: PBE-GGA
Structure: optimized geometry

Magnetic moment (Bohr magnetons per cell): 0.00
Symmetry: Cm (8)
ΔE_f (raw) (eV/atom): 0.119

a b c (Å): 4.727 4.727 4.678
angles (deg): 96.03 96.03 35.51
Fractional coordinates of all 4 atoms:
1 Si 0.000 0.000 0.000
2 Tc 0.254 0.254 0.766
3 Tc 0.517 0.517 0.552
4 Au 0.770 0.770 0.270



Entry 6:
Compound: SiTcAu2
Source: Alexandria
Functional: PBE-GGA
Structure: optimized geometry

Magnetic moment (Bohr magnetons per cell): 0.00
Symmetry: Pm (6)
ΔE_f (raw) (eV/atom): -0.009

a b c (Å): 3.120 3.375 6.403
angles (deg): 90.00 104.01 90.00
Fractional coordinates of all 4 atoms:
1 Si 0.000 0.000 0.000
2 Tc 0.567 0.500 0.135
3 Au 0.216 0.000 0.433
4 Au 0.851 0.500 0.705



Entry 7:
Compound: SiTc2Au
Source: Alexandria
Functional: PBE-GGA
Structure: optimized geometry

Magnetic moment (Bohr magnetons per cell): 0.00
Symmetry: I-42d (122)
ΔE_f (raw) (eV/atom): 0.435

a b c (Å): 9.826 9.826 9.826
angles (deg): 157.96 157.96 31.36
Fractional coordinates of all 8 atoms:
1 Si 0.000 0.000 0.000
2 Si 0.750 0.250 0.500
3 Tc 0.065 0.625 0.940
4 Tc 0.375 0.315 0.440
5 Tc 0.685 0.125 0.060
6 Tc 0.875 0.935 0.560
7 Au 0.250 0.750 0.500
8 Au 0.500 0.500 0.000



Entry 8:
Compound: SiTcAu2
Source: Alexandria
Functional: PBE-GGA
Structure: optimized geometry

Magnetic moment (Bohr magnetons per cell): 0.00
Symmetry: P2/m (10)
ΔE_f (raw) (eV/atom): 0.202

a b c (Å): 4.524 2.943 5.029
angles (deg): 90.00 106.00 90.00
Fractional coordinates of all 4 atoms:
1 Si 0.000 0.000 0.000
2 Tc 0.500 0.500 0.000
3 Au 0.000 0.500 0.500
4 Au 0.500 0.000 0.500



Entry 9:
Compound: SiTcAu2
Source: Alexandria
Functional: PBE-GGA
Structure: optimized geometry

Magnetic moment (Bohr magnetons per cell): 0.00
Symmetry: P4/mmm (123)
ΔE_f (raw) (eV/atom): 0.242

a b c (Å): 3.861 3.861 4.277
angles (deg): 90.00 90.00 90.00
Fractional coordinates of all 4 atoms:
1 Si 0.000 0.000 0.000
2 Tc 0.500 0.500 0.000
3 Au 0.000 0.500 0.500
4 Au 0.500 0.000 0.500



Entry 10:
Compound: SiTc2Au
Source: Alexandria
Functional: PBE-GGA
Structure: optimized geometry

Magnetic moment (Bohr magnetons per cell): 0.00
Symmetry: R-3m (166)
ΔE_f (raw) (eV/atom): 0.064

a b c (Å): 8.801 8.801 8.801
angles (deg): 18.47 18.47 18.47
Fractional coordinates of all 4 atoms:
1 Si 0.000 0.000 0.000
2 Tc 0.258 0.258 0.258
3 Tc 0.742 0.742 0.742
4 Au 0.500 0.500 0.500



Entry 11:
Compound: SiTcAu2
Source: Alexandria
Functional: PBE-GGA
Structure: optimized geometry

Magnetic moment (Bohr magnetons per cell): 0.00
Symmetry: Cmmm (65)
ΔE_f (raw) (eV/atom): 0.303

a b c (Å): 5.099 5.099 2.781
angles (deg): 90.00 90.00 115.95
Fractional coordinates of all 4 atoms:
1 Si 0.000 0.000 0.000
2 Tc 0.500 0.500 0.000
3 Au 0.000 0.500 0.500
4 Au 0.500 0.000 0.500



Entry 12:
Compound: SiTcAu2
Source: Alexandria
Functional: PBE-GGA
Structure: optimized geometry

Magnetic moment (Bohr magnetons per cell): 2.71
Symmetry: I-42d (122)
ΔE_f (raw) (eV/atom): 0.398

a b c (Å): 10.295 10.295 10.295
angles (deg): 159.05 159.05 29.80
Fractional coordinates of all 8 atoms:
1 Si 0.000 0.000 0.000
2 Si 0.750 0.250 0.500
3 Tc 0.250 0.750 0.500
4 Tc 0.500 0.500 0.000
5 Au 0.124 0.625 0.999
6 Au 0.375 0.374 0.499
7 Au 0.626 0.125 0.001
8 Au 0.875 0.876 0.501



Entry 13:
Compound: SiTcAu2
Source: Alexandria
Functional: PBE-GGA
Structure: optimized geometry

Magnetic moment (Bohr magnetons per cell): 0.00
Symmetry: Immm (71)
ΔE_f (raw) (eV/atom): 0.130

a b c (Å): 6.244 6.244 6.244
angles (deg): 152.50 142.96 46.75
Fractional coordinates of all 4 atoms:
1 Si 0.000 0.000 0.000
2 Tc 0.500 0.500 0.000
3 Au 0.188 0.688 0.500
4 Au 0.812 0.312 0.500



Entry 14:
Compound: SiTc2Au
Source: Alexandria
Functional: PBE-GGA
Structure: optimized geometry

Magnetic moment (Bohr magnetons per cell): 0.00
Symmetry: I-4m2 (119)
ΔE_f (raw) (eV/atom): 0.134

a b c (Å): 4.732 4.732 4.732
angles (deg): 131.03 131.03 71.77
Fractional coordinates of all 4 atoms:
1 Si 0.000 0.000 0.000
2 Tc 0.250 0.750 0.500
3 Tc 0.500 0.500 0.000
4 Au 0.750 0.250 0.500



Entry 15:
Compound: SiTcAu2
Source: Alexandria
Functional: PBE-GGA
Structure: optimized geometry

Magnetic moment (Bohr magnetons per cell): 0.00
Symmetry: Imm2 (44)
ΔE_f (raw) (eV/atom): 0.205

a b c (Å): 5.312 5.312 5.312
angles (deg): 145.77 129.48 62.44
Fractional coordinates of all 4 atoms:
1 Si 0.000 0.000 0.000
2 Tc 0.199 0.699 0.500
3 Au 0.489 0.489 0.000
4 Au 0.776 0.276 0.500



Entry 16:
Compound: SiTcAu2
Source: Alexandria
Functional: PBE-GGA
Structure: optimized geometry

Magnetic moment (Bohr magnetons per cell): 0.95
Symmetry: I4/mmm (139)
ΔE_f (raw) (eV/atom): 0.373

a b c (Å): 5.196 5.196 5.196
angles (deg): 136.72 136.72 62.87
Fractional coordinates of all 4 atoms:
1 Si 0.000 0.000 0.000
2 Tc 0.500 0.500 0.000
3 Au 0.250 0.750 0.500
4 Au 0.750 0.250 0.500



Entry 17:
Compound: SiTcAu3
Source: Alexandria
Functional: PBE-GGA
Structure: optimized geometry

Magnetic moment (Bohr magnetons per cell): 1.74
Symmetry: Pm-3m (221)
ΔE_f (raw) (eV/atom): 1.417

a b c (Å): 5.015 5.015 5.015
angles (deg): 90.00 90.00 90.00
Fractional coordinates of all 5 atoms:
1 Si 0.000 0.000 0.000
2 Tc 0.500 0.500 0.500
3 Au 0.000 0.500 0.500
4 Au 0.500 0.000 0.500
5 Au 0.500 0.500 0.000



Entry 18:
Compound: Si4TcAu
Source: Alexandria
Functional: PBE-GGA
Structure: optimized geometry

Magnetic moment (Bohr magnetons per cell): 0.38
Symmetry: F-43m (216)
ΔE_f (raw) (eV/atom): 0.491

a b c (Å): 4.979 4.979 4.979
angles (deg): 60.00 60.00 60.00
Fractional coordinates of all 6 atoms:
1 Si 0.124 0.124 0.124
2 Si 0.124 0.124 0.628
3 Si 0.124 0.628 0.124
4 Si 0.628 0.124 0.124
5 Tc 0.750 0.750 0.750
6 Au 0.500 0.500 0.500



Entry 19:
Compound: SiTc4Au
Source: Alexandria
Functional: PBE-GGA
Structure: optimized geometry

Magnetic moment (Bohr magnetons per cell): 0.00
Symmetry: F-43m (216)
ΔE_f (raw) (eV/atom): 0.583

a b c (Å): 5.125 5.125 5.125
angles (deg): 60.00 60.00 60.00
Fractional coordinates of all 6 atoms:
1 Si 0.000 0.000 0.000
2 Tc 0.126 0.625 0.625
3 Tc 0.625 0.126 0.625
4 Tc 0.625 0.625 0.126
5 Tc 0.625 0.625 0.625
6 Au 0.250 0.250 0.250



Entry 20:
Compound: SiTcAu2
Source: Alexandria
Functional: PBE-GGA
Structure: optimized geometry

Magnetic moment (Bohr magnetons per cell): 0.00
Symmetry: P4/mmm (123)
ΔE_f (raw) (eV/atom): 0.413

a b c (Å): 2.743 2.743 8.845
angles (deg): 90.00 90.00 90.00
Fractional coordinates of all 4 atoms:
1 Si 0.000 0.000 0.000
2 Tc 0.000 0.000 0.500
3 Au 0.500 0.500 0.256
4 Au 0.500 0.500 0.744